# 1
# Na2AlS8 | Alexandria via LeMat-Bulk | GGA-PBE | optimized geometry
data_Na2AlS8
_chemical_formula_sum 'Na2 Al1 S8'
_cell_length_a 15.9839
_cell_length_b 7.4768
_cell_length_c 11.0059
_cell_angle_alpha 35.17
_cell_angle_beta 20.09
_cell_angle_gamma 38.76
_symmetry_space_group_name_H-M 'P 1'
_symmetry_Int_Tables_number 1
loop_
_symmetry_equiv_pos_as_xyz
'x,y,z'
loop_
_atom_site_label
_atom_site_fract_x
_atom_site_fract_y
_atom_site_fract_z
S1 0.2884 0.2100 0.6166
S2 0.5595 0.1011 0.7812
S3 0.7116 0.7900 0.3834
S4 0.4405 0.8989 0.2188
S5 0.1856 0.2328 0.4365
S6 0.8144 0.7672 0.5635
S7 0.9772 0.5045 0.8317
S8 0.0228 0.4955 0.1683
Na1 0.2272 0.8888 0.1062
Na2 0.7728 0.1112 0.8938
Al1 0.0000 0.0000 0.0000
# **Formation energy without anion corrections**: -405.0 meV per atom
# **Space group**: P-1, No. 2
# **Total magnetization**: 0.00 μB/atom



# 2
# NaAlS2 | Alexandria via LeMat-Bulk | GGA-PBE | optimized geometry
data_NaAlS2
_chemical_formula_sum 'Na2 Al2 S4'
_cell_length_a 6.2143
_cell_length_b 5.9547
_cell_length_c 6.2140
_cell_angle_alpha 66.36
_cell_angle_beta 94.81
_cell_angle_gamma 66.35
_symmetry_space_group_name_H-M 'P 1'
_symmetry_Int_Tables_number 1
loop_
_symmetry_equiv_pos_as_xyz
'x,y,z'
loop_
_atom_site_label
_atom_site_fract_x
_atom_site_fract_y
_atom_site_fract_z
Na1 0.1095 0.9790 0.4523
Na2 0.3553 0.4792 0.2064
Al1 0.7438 0.4792 0.8180
Al2 0.7207 0.9792 0.8411
S1 0.7982 0.5569 0.1435
S2 0.0462 0.0570 0.8955
S3 0.4183 0.4013 0.7635
S4 0.6663 0.9014 0.5156
# **Formation energy without anion corrections**: -1194.6 meV per atom
# **Space group**: C2/c, No. 15
# **Total magnetization**: 0.00 μB/atom



# 3
# NaAlS2 | Alexandria via LeMat-Bulk | GGA-PBE | optimized geometry
data_NaAlS2
_chemical_formula_sum 'Na1 Al1 S2'
_cell_length_a 3.5956
_cell_length_b 3.5962
_cell_length_c 6.8796
_cell_angle_alpha 105.00
_cell_angle_beta 105.17
_cell_angle_gamma 90.03
_symmetry_space_group_name_H-M 'P 1'
_symmetry_Int_Tables_number 1
loop_
_symmetry_equiv_pos_as_xyz
'x,y,z'
loop_
_atom_site_label
_atom_site_fract_x
_atom_site_fract_y
_atom_site_fract_z
S1 0.8613 0.5216 0.5086
S2 0.5811 0.2395 0.9476
Al1 0.4713 0.6308 0.7282
Na1 0.2215 0.8827 0.2284
# **Formation energy without anion corrections**: -1136.1 meV per atom
# **Space group**: Cm, No. 8
# **Total magnetization**: 0.00 μB/atom